Entry from Alexandria via LeMat-Bulk: AlTeO2 at its PBEsol-relaxed geometry (SCAN).

Structure (POSCAR):
```
AlTeO2
1.0
5.2014 0.0000 0.0000
-2.6007 4.9996 -0.0212
0.0000 2.7245 4.4307
O Al Te
4 2 2
Direct
0.4724 0.7500 0.3750
0.8750 0.2500 0.4724
0.3750 0.2500 0.2776
0.2776 0.7500 0.8750
0.2500 0.5000 0.2500
0.5000 0.0000 0.5000
0.7500 0.5000 0.7500
0.0000 0.0000 0.0000
```

Energy, eV per atom: -16.1392
E_form (uncorrected), eV per atom: -1.77
Crystal system: tetragonal

***

Entry from Alexandria via LeMat-Bulk: Y2AlTeO at its PBEsol-relaxed geometry (SCAN).

Structure (POSCAR):
```
Y2AlTeO
1.0
4.8754 0.0000 0.0000
0.0000 5.4106 0.0000
0.0000 0.0000 5.4106
Y O Al Te
2 1 1 1
Direct
0.0000 0.0000 0.5000
0.0000 0.5000 0.0000
0.5000 0.5000 0.5000
0.0000 0.0000 0.0000
0.5000 0.0000 0.0000
```

Energy, eV per atom: -21.1151
E_form (uncorrected), eV per atom: 0.27
Crystal system: tetragonal

***

Entry from Alexandria via LeMat-Bulk: TiAlO3 at its PBEsol-relaxed geometry (SCAN).

Structure (POSCAR):
```
TiAlO3
1.0
-2.3529 -1.7502 3.9158
-1.0796 -4.7634 0.2782
2.8747 -2.9616 3.4595
O Al Ti
6 2 2
Direct
0.7712 0.0539 0.7353
0.2288 0.9461 0.2647
0.5604 0.2288 0.2647
0.4396 0.7712 0.7353
0.9461 0.5604 0.2647
0.0539 0.4396 0.7353
0.1518 0.1518 0.5446
0.8482 0.8482 0.4554
0.6489 0.6489 0.0534
0.3511 0.3511 0.9466
```

Energy, eV per atom: -11.7059
E_form (uncorrected), eV per atom: -3.21
Crystal system: trigonal

***

Entry from Alexandria via LeMat-Bulk: Ti7Al2O15 at its PBEsol-relaxed geometry (SCAN).

Structure (POSCAR):
```
Ti7Al2O15
1.0
2.9566 0.0000 0.0000
-1.4783 9.0061 0.0092
0.0000 -1.3801 9.3472
O Ti Al
15 7 2
Direct
0.7732 0.5463 0.3962
0.0000 0.0000 0.5000
0.8001 0.6002 0.0921
0.2268 0.4537 0.6038
0.0090 0.0180 0.2135
0.5744 0.1488 0.0071
0.6198 0.2397 0.3958
0.8132 0.6263 0.8149
0.9910 0.9820 0.7865
0.6063 0.2126 0.6942
0.4256 0.8512 0.9929
0.3802 0.7603 0.6042
0.3937 0.7874 0.3058
0.1999 0.3998 0.9079
0.1868 0.3737 0.1851
0.8106 0.6212 0.6150
0.0000 0.0000 0.0000
0.6783 0.3567 0.0471
0.4903 0.9806 0.6481
0.1894 0.3788 0.3850
0.5097 0.0194 0.3519
0.3217 0.6433 0.9529
0.8424 0.6849 0.2765
0.1576 0.3151 0.7235
```

Energy, eV per atom: -12.4878
E_form (uncorrected), eV per atom: -3.27
Crystal system: monoclinic

***

Entry from Alexandria via LeMat-Bulk: Al2TlO at its PBEsol-relaxed geometry (SCAN).

Structure (POSCAR):
```
Al2TlO
1.0
5.0164 0.0000 0.0000
0.0000 5.0164 0.0000
-2.5082 -2.5082 5.5878
Al Tl O
4 2 2
Direct
0.6250 0.4622 0.7500
0.7122 0.3750 0.2500
0.1250 0.2878 0.7500
0.5378 0.8750 0.2500
0.0000 0.0000 0.0000
0.2500 0.7500 0.5000
0.5000 0.5000 0.0000
0.7500 0.2500 0.5000
```

Energy, eV per atom: -24.3532
E_form (uncorrected), eV per atom: -0.83
Crystal system: tetragonal

***

Entry from Alexandria via LeMat-Bulk: Al2TlWO at its PBEsol-relaxed geometry (SCAN).

Structure (POSCAR):
```
Al2TlWO
1.0
5.0044 0.0000 0.0000
0.0000 5.0044 0.0000
0.0000 0.0000 5.3360
Al Tl O W
2 1 1 1
Direct
0.5000 0.0000 0.0000
0.0000 0.5000 0.0000
0.0000 0.0000 0.0000
0.5000 0.5000 0.5000
0.0000 0.0000 0.5000
```

Energy, eV per atom: -30.6110
E_form (uncorrected), eV per atom: 2.15
Crystal system: tetragonal